A plane-wave DFT calculation with PBE was carried out for an optimized crystal structure of MgCoI.

## Properties
Raw total energy (eV/atom): -3.17
Space group: No. 62
Total moment (μB per atom): 0.000

Unit cell a=9.7925 b=3.8251 c=7.0952 alpha=90.00 beta=90.00 gamma=90.00
With the nearest neighbours (Å) after each atom.
Atoms (fractional coordinates):
Mg: 0.9893 0.2500 0.8386  3 Co 2.69, 2 Mg 2.99
Mg: 0.4893 0.2500 0.6614  3 Co 2.69, 2 Mg 2.99
I: 0.1973 0.7500 0.5195  3 Co 2.45-2.50
I: 0.6973 0.7500 0.9805  3 Co 2.45-2.50
Mg: 0.5107 0.7500 0.3386  3 Co 2.69, 2 Mg 2.99
I: 0.3027 0.2500 0.0195  3 Co 2.45-2.50
Mg: 0.0107 0.7500 0.1614  3 Co 2.69, 2 Mg 2.99
Co: 0.8181 0.2500 0.1352  3 I 2.45-2.50, 3 Mg 2.69
Co: 0.3181 0.2500 0.3648  3 I 2.45-2.50, 3 Mg 2.69
I: 0.8027 0.2500 0.4805  3 Co 2.45-2.50
Co: 0.6819 0.7500 0.6352  3 I 2.45-2.50, 3 Mg 2.69
Co: 0.1819 0.7500 0.8648  3 I 2.45-2.50, 3 Mg 2.69